KDyCdSe3 (PBE, optimized geometry); crystal system = orthorhombic; E_tot = -4.121 eV per atom
1.0
-1.691 10.896 5.251
-0.309 -1.893 3.830
12.829 1.206 1.630
Se Cd K Dy
12 4 4 4
Direct
0.911 0.500 0.569
0.411 0.500 0.931
0.589 0.000 0.069
0.732 0.500 0.337
0.545 0.500 0.677
0.268 0.000 0.663
0.089 0.000 0.431
0.045 0.500 0.823
0.455 0.000 0.323
0.232 0.500 0.163
0.955 0.000 0.177
0.768 0.000 0.837
0.260 0.500 0.784
0.760 0.500 0.716
0.240 0.000 0.284
0.740 0.000 0.216
0.342 0.500 0.491
0.658 0.000 0.509
0.158 0.000 0.991
0.842 0.500 0.009
0.536 0.000 0.832
0.036 0.000 0.668
0.964 0.500 0.332
0.464 0.500 0.168

***

KDyCdSe3 (PBE, optimized geometry); crystal system = monoclinic; E_tot = -4.176 eV per atom
1.0
8.796 0.000 0.000
0.000 4.241 0.000
-3.183 0.000 9.804
Se Cd K Dy
6 2 2 2
Direct
0.401 0.750 0.631
0.963 0.750 0.651
0.737 0.750 0.049
0.263 0.250 0.951
0.599 0.250 0.369
0.037 0.250 0.349
0.416 0.750 0.889
0.584 0.250 0.111
0.722 0.250 0.738
0.278 0.750 0.262
0.175 0.250 0.634
0.825 0.750 0.366

***

LaDy2Mg3Tl2Cd (PBE, optimized geometry); crystal system = orthorhombic; E_tot = -3.044 eV per atom
1.0
-3.013 3.558 -0.593
-1.234 0.217 7.581
5.576 4.183 -3.232
Dy Mg Cd Tl La
2 3 1 2 1
Direct
0.000 0.003 0.579
0.000 0.579 0.003
0.500 0.238 0.999
0.500 0.999 0.238
0.500 0.761 0.761
0.000 0.989 0.989
0.500 0.331 0.674
0.500 0.674 0.331
0.000 0.426 0.426

***

La2DyMg3Tl2Cd (PBE, optimized geometry); crystal system = orthorhombic; E_tot = -3.094 eV per atom
1.0
4.765 0.000 0.000
0.000 6.637 3.901
0.000 -6.637 3.901
La Mg Tl Dy Cd
2 3 2 1 1
Direct
0.000 0.998 0.575
0.000 0.575 0.998
0.500 0.239 0.001
0.500 0.762 0.762
0.500 0.001 0.239
0.500 0.659 0.336
0.500 0.336 0.659
0.000 0.421 0.421
0.000 0.010 0.010